VASP calculation (PBE) on crystalline SrIn4Pb7 at its relaxed geometry.

a b c (Å): 7.2906 7.6795 7.9543
angles (deg): 73.91 71.54 73.10
Last column: nearest neighbours and their distance in Å.
Space group P-1 (No. 2)
Symmetry-distinct sites (fractional):
1 Sr 0.0000 0.0000 0.0000  2 In 3.50, 6 Pb 3.64-3.84
2 In 0.1308 0.3357 0.6110  4 Pb 3.09-3.42, 3 In 3.16-3.28
3 In 0.3322 0.4984 0.1906  4 Pb 3.10-3.32, 3 In 3.24-3.28
4 Pb 0.0000 0.5000 0.0000  4 In 3.23-3.42, 4 Pb 3.44-3.50
5 Pb 0.1767 0.1042 0.3329  2 In 3.09-3.32, 3 Pb 3.31-3.44
6 Pb 0.3179 0.6771 0.5960  2 In 3.25-3.27, 5 Pb 3.43-3.51
7 Pb 0.4427 0.1979 0.8601  2 In 3.10-3.24, 3 Pb 3.29-3.44

## Properties
Mass density: 8.38 g/cm3
Density of states at the Fermi level: 0.49 states/eV/atom
Formation energy from the elements: -0.02 eV per atom

VASP calculation (PBE) on crystalline La4Al at its relaxed geometry.

a b c (Å): 12.6342 15.8216 6.5650
angles (deg): 90.00 90.00 90.00
Last column: nearest neighbours and their distance in Å.
Space group Fdd2 (No. 43)
Symmetry-distinct sites (fractional):
1 La 0.0644 0.1969 0.0000  2 Al 3.25-3.26, 4 La 3.42-3.57
2 La 0.0693 0.1120 0.4786  2 Al 3.33-3.34, 7 La 3.42-3.68
3 Al 0.0000 0.0000 0.0692  8 La 3.25-3.34

## Properties
E above lowest polymorph: 30 meV/atom
Mass density: 5.90 g/cm3
Density of states at the Fermi level: 1.29 states/eV/atom
Formation energy from the elements: -0.09 eV per atom

VASP calculation (PBE) on crystalline CrAg4 at its relaxed geometry.

a b c (Å): 4.9758 4.9758 4.9758
angles (deg): 90.00 90.00 90.00
Last column: nearest neighbours and their distance in Å.
Space group Pm-3m (No. 221)
Symmetry-distinct sites (fractional):
1 Cr 0.0000 0.0000 0.0000  6 Ag 2.49
2 Ag 0.0000 0.0000 0.5000  2 Cr 2.49
3 Ag 0.5000 0.5000 0.5000  12 Ag 3.52

## Properties
Mass density: 6.52 g/cm3
Density of states at the Fermi level: 0.38 states/eV/atom
Formation energy from the elements: 1.07 eV per atom

VASP calculation (PBE) on crystalline GaNiMo3 at its relaxed geometry.

a b c (Å): 4.4729 4.4729 4.4729
angles (deg): 90.00 90.00 90.00
Last column: nearest neighbours and their distance in Å.
Space group Pm-3m (No. 221)
Symmetry-distinct sites (fractional):
1 Ga 0.0000 0.0000 0.0000  12 Mo 3.16
2 Ni 0.5000 0.5000 0.5000  6 Mo 2.24
3 Mo 0.0000 0.5000 0.5000  2 Ni 2.24

## Properties
E above lowest polymorph: 0 meV/atom
Mass density: 7.72 g/cm3
Density of states at the Fermi level: 0.76 states/eV/atom
Formation energy from the elements: 1.20 eV per atom

VASP calculation (PBE) on crystalline KTl2O3 at its relaxed geometry.

a b c (Å): 3.5632 3.5632 18.2876
angles (deg): 90.00 90.00 120.00
Last column: nearest neighbours and their distance in Å.
Space group P6_3/mmc (No. 194)
Symmetry-distinct sites (fractional):
1 K 0.0000 0.0000 0.2500  6 O 2.80
2 Tl 0.3333 0.6667 0.0818  6 O 2.37-2.54
3 O 0.0000 0.0000 0.0000  6 Tl 2.54
4 O 0.3333 0.6667 0.6464  3 Tl 2.37

## Properties
Formation energy from raw total energies: -813 meV per atom
E above lowest polymorph: 0 meV/atom
Mass density: 8.19 g/cm3
Density of states at the Fermi level: 0.31 states/eV/atom

VASP calculation (PBE) on crystalline FeSiTe2 at its relaxed geometry.

a b c (Å): 3.3406 3.3406 7.6383
angles (deg): 90.00 90.00 90.00
Last column: nearest neighbours and their distance in Å.
Space group P4mm (No. 99)
Symmetry-distinct sites (fractional):
1 Fe 0.0000 0.0000 0.0000  4 Si 2.56, 1 Te 2.66
2 Si 0.5000 0.5000 0.1283  4 Fe 2.56, 1 Te 2.69
3 Te 0.0000 0.0000 0.3479  1 Fe 2.66, 4 Si 2.90
4 Te 0.5000 0.5000 0.7756  1 Si 2.69, 4 Fe 2.92

## Properties
Formation energy from raw total energies: 223 meV per atom
Mass density: 6.61 g/cm3
Density of states at the Fermi level: 0.61 states/eV/atom